VASP calculation (PBEsol) on crystalline SrWBr2 at its relaxed geometry.

Lattice parameters (Å, degrees): 6.5478 6.5478 6.5478 149.19 132.06 58.08
Closest atoms and distances in Å follow each position.
Positions (direct):
1 Sr 0.0000 0.0000 0.0000  4 W 3.18, 4 Br 3.26, 2 Sr 3.48
2 W 0.5000 0.5000 0.0000  4 Br 2.56
3 Br 0.3355 0.8355 0.5000  2 W 2.56
4 Br 0.6645 0.1645 0.5000  2 W 2.56

Computed properties:
ΔE_f (raw) ... 0.3 eV per formula unit
Crystal system ... orthorhombic